Entry 1:
{
  "formula": "PtAuSeI2",
  "functional": "PBE",
  "state": "optimized geometry",
  "formation_energy_uncorrected_ev_per_atom": 0.636,
  "energy_ev_per_fu": -12.72,
  "lattice": [[5.412, 0.000, 0.000], [0.000, 5.266, 0.000], [0.000, 0.000, 5.412]],
  "species": ["Se", "I", "Pt", "Au", "I"],
  "frac_coords": [[0.500, 0.500, 0.500], [0.500, 0.000, 0.000], [0.000, 0.000, 0.000], [0.000, 0.500, 0.000], [0.000, 0.000, 0.500]]
}



Entry 2:
{
  "formula": "HoCo2Sn8",
  "functional": "PBE",
  "state": "optimized geometry",
  "e_form_ev_per_atom": -0.096,
  "energy_ev_per_fu": -51.87,
  "lattice": [[-1.647, 3.106, -3.440], [-6.736, -3.474, 0.627], [1.153, 5.587, 5.030]],
  "species": ["Sn", "Sn", "Sn", "Sn", "Sn", "Co", "Sn", "Ho", "Sn", "Co", "Sn"],
  "frac_coords": [[0.725, 0.388, 0.388], [0.500, 0.734, 0.266], [0.109, 0.055, 0.338], [0.109, 0.338, 0.055], [0.891, 0.945, 0.662], [0.000, 0.675, 0.325], [0.275, 0.612, 0.612], [0.500, 0.000, 0.000], [0.891, 0.662, 0.945], [0.000, 0.325, 0.675], [0.500, 0.266, 0.734]]
}



Entry 3:
{
  "formula": "LiTlRh2",
  "functional": "PBE",
  "state": "optimized geometry",
  "e_form_ev_per_atom": -0.015,
  "energy_ev_per_fu": -19.04,
  "lattice": [[-4.055, 1.371, 1.328], [-1.776, -1.600, 3.791], [-0.403, 2.661, 3.583]],
  "species": ["Tl", "Rh", "Li", "Rh"],
  "frac_coords": [[0.750, 0.750, 0.750], [0.000, 0.000, 0.000], [0.500, 0.500, 0.500], [0.250, 0.250, 0.250]]
}



Entry 4:
{
  "formula": "Be2Zn2Hg",
  "functional": "PBE",
  "state": "optimized geometry",
  "relative_energy_mev_per_atom": 0,
  "e_form_ev_per_atom": 0.311,
  "energy_ev_per_fu": -8.75,
  "lattice": [[-0.447, 6.250, -0.376], [-6.254, -0.426, 0.344], [0.183, 0.230, 3.607]],
  "species": ["Zn", "Hg", "Be", "Hg", "Zn", "Zn", "Be", "Be", "Zn", "Be"],
  "frac_coords": [[0.152, 0.652, 0.500], [0.000, 0.000, 0.000], [0.126, 0.374, 0.000], [0.500, 0.500, 0.000], [0.348, 0.152, 0.500], [0.848, 0.348, 0.500], [0.874, 0.626, 0.000], [0.626, 0.126, 0.000], [0.652, 0.848, 0.500], [0.374, 0.874, 0.000]]
}



Entry 5:
{
  "formula": "TmZnSi",
  "functional": "PBE",
  "state": "optimized geometry",
  "formation_energy_uncorrected_ev_per_atom": -0.089,
  "energy_ev_per_fu": -11.43,
  "lattice": [[-3.636, -0.071, -1.358], [-1.172, -1.806, 3.231], [1.675, 4.565, 0.826]],
  "species": ["Zn", "Si", "Tm"],
  "frac_coords": [[0.961, 0.961, 0.922], [0.269, 0.269, 0.538], [0.620, 0.620, 0.240]]
}



Entry 6:
{
  "formula": "CaLa2PdPb",
  "functional": "PBE",
  "state": "optimized geometry",
  "e_form_ev_per_atom": -0.420,
  "energy_ev_per_fu": -22.86,
  "lattice": [[-4.339, -3.522, 0.119], [0.317, -0.203, 5.577], [-3.480, 4.300, 0.355]],
  "species": ["Pd", "Pb", "La", "La", "Ca"],
  "frac_coords": [[0.000, 0.000, 0.000], [0.500, 0.500, 0.500], [0.500, 0.000, 0.000], [0.000, 0.500, 0.000], [0.000, 0.000, 0.500]]
}



Entry 7:
{
  "formula": "DyMgTlBr6",
  "functional": "PBE",
  "state": "optimized geometry",
  "formation_energy_uncorrected_ev_per_atom": -1.525,
  "energy_ev_per_fu": -32.32,
  "lattice": [[-3.310, 3.688, -5.184], [2.701, -6.497, -1.387], [-12.716, -6.094, 3.783]],
  "species": ["Br", "Br", "Br", "Tl", "Dy", "Br", "Mg", "Br", "Br", "Br", "Mg", "Br", "Br", "Br", "Br", "Br", "Dy", "Tl"],
  "frac_coords": [[0.989, 0.623, 0.858], [0.377, 0.011, 0.642], [0.989, 0.367, 0.642], [0.000, 0.000, 0.500], [0.667, 0.333, 0.250], [0.623, 0.633, 0.142], [0.667, 0.333, 0.750], [0.011, 0.377, 0.142], [0.367, 0.377, 0.358], [0.633, 0.623, 0.642], [0.333, 0.667, 0.250], [0.367, 0.989, 0.142], [0.633, 0.011, 0.858], [0.011, 0.633, 0.358], [0.377, 0.367, 0.858], [0.623, 0.989, 0.358], [0.333, 0.667, 0.750], [0.000, 0.000, 0.000]]
}



Entry 8:
{
  "formula": "LiTaBe",
  "functional": "PBE",
  "state": "optimized geometry",
  "relative_energy_mev_per_atom": 42,
  "e_form_ev_per_atom": 0.171,
  "energy_ev_per_fu": -16.98,
  "lattice": [[14.244, 0.000, -0.047], [6.979, 1.964, -1.503], [-6.979, 1.964, 1.503]],
  "species": ["Li", "Ta", "Be", "Li", "Be", "Ta"],
  "frac_coords": [[0.500, 0.000, 0.000], [0.120, 0.567, 0.433], [0.581, 0.558, 0.442], [0.000, 0.000, 0.000], [0.419, 0.442, 0.558], [0.880, 0.433, 0.567]]
}



Entry 9:
{
  "formula": "ScV2Tc",
  "functional": "PBE",
  "state": "optimized geometry",
  "relative_energy_mev_per_atom": 61,
  "e_form_ev_per_atom": 0.040,
  "energy_ev_per_fu": -34.78,
  "lattice": [[4.428, 0.000, 0.000], [2.214, 3.835, 0.000], [2.214, 1.278, 3.616]],
  "species": ["V", "Sc", "Tc", "V"],
  "frac_coords": [[0.750, 0.750, 0.750], [0.500, 0.500, 0.500], [0.000, 0.000, 0.000], [0.250, 0.250, 0.250]]
}



Entry 10:
{
  "formula": "CaPSe",
  "functional": "PBE",
  "state": "optimized geometry",
  "formation_energy_uncorrected_ev_per_atom": -0.774,
  "energy_ev_per_fu": -13.22,
  "lattice": [[6.090, 0.047, -0.103], [3.551, 4.947, 0.103], [-4.924, -2.298, 2.752]],
  "species": ["Se", "Ca", "P"],
  "frac_coords": [[0.391, 0.391, 0.000], [0.007, 0.007, 0.000], [0.602, 0.602, 0.000]]
}



Entry 11:
{
  "formula": "Li2AlAu5",
  "functional": "PBE",
  "state": "optimized geometry",
  "relative_energy_mev_per_atom": 0,
  "e_form_ev_per_atom": -0.466,
  "energy_ev_per_fu": -27.68,
  "lattice": [[4.244, 0.000, 0.000], [0.000, 5.560, 0.000], [0.000, 0.000, 11.055]],
  "species": ["Au", "Au", "Au", "Au", "Al", "Au", "Au", "Li", "Li", "Au", "Au", "Al", "Li", "Au", "Li", "Au"],
  "frac_coords": [[0.000, 0.500, 0.500], [0.000, 0.431, 0.761], [0.500, 0.309, 0.106], [0.000, 0.069, 0.261], [0.000, 0.000, 0.500], [0.500, 0.691, 0.894], [0.000, 0.000, 0.000], [0.500, 0.184, 0.861], [0.500, 0.316, 0.361], [0.500, 0.809, 0.394], [0.500, 0.191, 0.606], [0.000, 0.500, 0.000], [0.500, 0.816, 0.139], [0.000, 0.569, 0.239], [0.500, 0.684, 0.639], [0.000, 0.931, 0.739]]
}



Entry 12:
{
  "formula": "HfHgS2",
  "functional": "PBE",
  "state": "optimized geometry",
  "formation_energy_uncorrected_ev_per_atom": -0.677,
  "energy_ev_per_fu": -21.22,
  "lattice": [[3.498, -2.020, 0.000], [0.000, 4.039, 0.000], [0.000, 0.000, 9.126]],
  "species": ["S", "S", "Hf", "Hg"],
  "frac_coords": [[0.333, 0.667, 0.688], [0.667, 0.333, 0.343], [0.333, 0.667, 0.447], [0.000, 0.000, 0.976]]
}



Entry 13:
{
  "formula": "ZnTeMo2",
  "functional": "PBE",
  "state": "optimized geometry",
  "relative_energy_mev_per_atom": 307,
  "formation_energy_uncorrected_ev_per_atom": 0.510,
  "energy_ev_per_fu": -24.04,
  "lattice": [[-1.420, 2.829, -3.189], [-2.569, 0.397, 1.496], [2.027, 4.170, 2.797]],
  "species": ["Mo", "Te", "Zn", "Mo"],
  "frac_coords": [[0.000, 0.414, 0.540], [0.500, 0.250, 0.250], [0.500, 0.750, 0.750], [0.000, 0.086, 0.960]]
}



Entry 14:
{
  "formula": "ZrHgRu2",
  "functional": "PBE",
  "state": "optimized geometry",
  "e_form_ev_per_atom": 0.197,
  "energy_ev_per_fu": -26.61,
  "lattice": [[8.791, -0.003, -0.002], [8.238, 3.069, -0.002], [8.238, 1.484, 2.687]],
  "species": ["Hg", "Zr", "Ru", "Ru"],
  "frac_coords": [[0.750, 0.750, 0.750], [0.250, 0.250, 0.250], [0.505, 0.505, 0.505], [0.995, 0.995, 0.995]]
}



Entry 15:
{
  "formula": "ThFeH3",
  "functional": "PBE",
  "state": "optimized geometry",
  "energy_ev_per_fu": -27.12,
  "lattice": [[-2.946, -2.108, -0.246], [1.003, -1.753, 3.018], [-1.871, 2.380, 2.005]],
  "species": ["Fe", "H", "H", "Th", "H"],
  "frac_coords": [[0.000, 0.000, 0.000], [0.000, 0.000, 0.500], [0.000, 0.500, 0.000], [0.500, 0.500, 0.500], [0.500, 0.000, 0.000]]
}



Entry 16:
{
  "formula": "Pm3ErH8",
  "functional": "PBE",
  "state": "optimized geometry",
  "energy_ev_per_fu": -53.83,
  "lattice": [[5.331, 0.000, 0.000], [0.000, 5.331, 0.000], [0.000, 0.000, 5.331]],
  "species": ["H", "Er", "H", "H", "Pm", "H", "H", "H", "Pm", "H", "H", "Pm"],
  "frac_coords": [[0.758, 0.758, 0.242], [0.000, 0.000, 0.000], [0.242, 0.758, 0.242], [0.242, 0.758, 0.758], [0.000, 0.500, 0.500], [0.242, 0.242, 0.758], [0.242, 0.242, 0.242], [0.758, 0.242, 0.758], [0.500, 0.000, 0.500], [0.758, 0.242, 0.242], [0.758, 0.758, 0.758], [0.500, 0.500, 0.000]]
}



Entry 17:
{
  "formula": "In3Hg",
  "functional": "PBE",
  "state": "optimized geometry",
  "e_form_ev_per_atom": 0.001,
  "energy_ev_per_fu": -8.51,
  "lattice": [[5.758, 0.042, 0.000], [-1.778, 5.477, 0.000], [0.000, 0.000, 3.353]],
  "species": ["In", "In", "In", "Hg"],
  "frac_coords": [[0.500, 0.000, 0.500], [0.000, 0.500, 0.500], [0.500, 0.500, 0.000], [0.000, 0.000, 0.000]]
}



Entry 18:
{
  "formula": "TbLuSnIr",
  "functional": "PBE",
  "state": "optimized geometry",
  "e_form_ev_per_atom": -0.615,
  "energy_ev_per_fu": -24.47,
  "lattice": [[-4.882, -1.235, 0.329], [-1.377, -4.234, 2.376], [-2.375, 0.259, 4.445]],
  "species": ["Sn", "Tb", "Ir", "Lu"],
  "frac_coords": [[0.250, 0.250, 0.250], [0.000, 0.000, 0.000], [0.750, 0.750, 0.750], [0.500, 0.500, 0.500]]
}



Entry 19:
{
  "formula": "FeCuBr",
  "functional": "PBE",
  "state": "optimized geometry",
  "relative_energy_mev_per_atom": 193,
  "formation_energy_uncorrected_ev_per_atom": 0.538,
  "energy_ev_per_fu": -12.62,
  "lattice": [[-2.177, -5.709, 2.087], [-0.468, -6.091, -0.536], [1.492, -0.829, 2.652]],
  "species": ["Cu", "Br", "Fe"],
  "frac_coords": [[0.319, 0.319, 0.681], [0.010, 0.010, 0.990], [0.671, 0.671, 0.329]]
}



Entry 20:
{
  "formula": "SrSbNF2",
  "functional": "PBE",
  "state": "optimized geometry",
  "relative_energy_mev_per_atom": 438,
  "formation_energy_uncorrected_ev_per_atom": -0.915,
  "energy_ev_per_fu": -22.45,
  "lattice": [[-0.794, -4.158, -1.404], [4.376, -0.641, -0.575], [0.407, -1.805, 5.115]],
  "species": ["Sb", "F", "N", "F", "Sr"],
  "frac_coords": [[0.500, 0.500, 0.500], [0.500, 0.000, 0.000], [0.000, 0.000, 0.500], [0.000, 0.500, 0.000], [0.000, 0.000, 0.000]]
}